Entry 1:
Below is an optimized crystal structure of Tl6HgSe2I2, with properties calculated at the PBE level.

a = 8.022 Å, b = 8.022 Å, c = 8.708 Å
α = 100.22°, β = 100.22°, γ = 118.87°
Fractional coordinates of all 11 atoms:
Tl (0.565, 0.928, 0.283)
Tl (0.928, 0.565, 0.283)
Tl (0.720, 0.720, 0.701)
Tl (0.435, 0.072, 0.717)
Tl (0.280, 0.280, 0.299)
Tl (0.072, 0.435, 0.717)
I (0.164, 0.836, 0.000)
I (0.836, 0.164, 0.000)
Hg (0.000, 0.000, 0.500)
Se (0.671, 0.329, 0.500)
Se (0.329, 0.671, 0.500)

Values from the calculation:
Size of the total moment = 0.00 μB/f.u.
ρ = 6.639 g/cm3
Calculated total energy = -2.63 eV per atom
Symmetry = C2/m (12)
Uncorrected formation energy = -0.39 eV per atom

***

Entry 2:
Below is an optimized crystal structure of LaTb8Sm6, with properties calculated at the PBE level.

a = 9.131 Å, b = 9.131 Å, c = 8.737 Å
α = 58.50°, β = 58.50°, γ = 60.00°
Fractional coordinates of all 15 atoms:
Sm (0.896, 0.464, 0.873)
Sm (0.233, 0.104, 0.127)
Sm (0.536, 0.233, 0.127)
Sm (0.464, 0.767, 0.873)
Sm (0.767, 0.896, 0.873)
Sm (0.104, 0.536, 0.127)
Tb (0.423, 0.423, 0.731)
Tb (0.112, 0.718, 0.423)
Tb (0.718, 0.746, 0.423)
Tb (0.577, 0.577, 0.269)
Tb (0.746, 0.112, 0.423)
Tb (0.282, 0.254, 0.577)
Tb (0.888, 0.282, 0.577)
Tb (0.254, 0.888, 0.577)
La (0.000, 0.000, 0.000)

Values from the calculation:
Size of the total moment = 0.00 μB/f.u.
ρ = 7.634 g/cm3
Calculated total energy = -4.56 eV per atom
Formation enthalpy at 0 K = 0.13 eV/atom
Symmetry = R-3 (148)

***

Entry 3:
Below is an optimized crystal structure of Pm4PrPt, with properties calculated at the PBE level.

a = 5.823 Å, b = 7.825 Å, c = 9.737 Å
α = 90.00°, β = 107.40°, γ = 90.00°
Fractional coordinates of all 12 atoms:
Pm (0.111, 0.780, 0.222)
Pm (0.501, 0.033, 0.001)
Pm (0.708, 0.518, 0.416)
Pm (0.292, 0.018, 0.584)
Pm (0.291, 0.541, 0.582)
Pm (0.889, 0.280, 0.778)
Pm (0.709, 0.041, 0.418)
Pm (0.499, 0.533, 0.999)
Pt (0.394, 0.281, 0.787)
Pt (0.606, 0.781, 0.213)
Pr (0.115, 0.280, 0.230)
Pr (0.885, 0.780, 0.770)

Values from the calculation:
Size of the total moment = 0.00 μB/f.u.
ρ = 7.186 g/cm3
Calculated total energy = -5.20 eV per atom
Formation enthalpy at 0 K = -0.23 eV/atom
Symmetry = Cmc2_1 (36)

***

Entry 4:
Below is an optimized crystal structure of Pu3Ag3PdS8, with properties calculated at the PBE level.

a = 8.045 Å, b = 8.046 Å, c = 7.697 Å
α = 123.61°, β = 85.61°, γ = 122.95°
Fractional coordinates of all 15 atoms:
Pu (0.500, 0.000, 0.500)
Pu (0.000, 0.500, 0.500)
Pu (0.500, 0.500, 0.500)
S (0.707, 0.010, 0.217)
S (0.738, 0.507, 0.744)
S (0.262, 0.493, 0.256)
S (0.207, 0.445, 0.710)
S (0.793, 0.555, 0.290)
S (0.765, 0.003, 0.710)
S (0.235, 0.997, 0.290)
S (0.293, 0.990, 0.783)
Ag (0.500, 0.500, 0.000)
Ag (0.000, 0.000, 0.000)
Ag (0.000, 0.500, 0.000)
Pd (0.000, 0.000, 0.500)

Values from the calculation:
Size of the total moment = 13.00 μB/f.u.
ρ = 7.143 g/cm3
Calculated total energy = -6.83 eV per atom
Symmetry = C2/m (12)
Uncorrected formation energy = -0.85 eV per atom

***

Entry 5:
Below is an optimized crystal structure of ThTl2Ag, with properties calculated at the PBE level.

a = 4.881 Å, b = 4.881 Å, c = 9.408 Å
α = 105.04°, β = 105.04°, γ = 90.00°
Fractional coordinates of all 8 atoms:
Tl (0.355, 0.355, 0.709)
Tl (0.645, 0.645, 0.291)
Tl (0.000, 0.500, 0.000)
Tl (0.500, 0.000, 0.000)
Ag (0.750, 0.250, 0.500)
Ag (0.250, 0.750, 0.500)
Th (0.869, 0.869, 0.738)
Th (0.131, 0.131, 0.262)

Values from the calculation:
Size of the total moment = 0.00 μB/f.u.
ρ = 11.923 g/cm3
Calculated total energy = -3.87 eV per atom
Formation enthalpy at 0 K = -0.12 eV/atom
Symmetry = I4/mmm (139)

***

Entry 6:
Below is an optimized crystal structure of Sr2TaO6, with properties calculated at the PBE level.

a = 3.767 Å, b = 6.024 Å, c = 6.382 Å
α = 118.16°, β = 98.64°, γ = 90.00°
Fractional coordinates of all 9 atoms:
O (0.500, 0.202, 0.000)
O (0.500, 0.798, 0.000)
O (0.158, 0.355, 0.269)
O (0.842, 0.645, 0.731)
O (0.842, 0.086, 0.731)
O (0.158, 0.914, 0.269)
Sr (0.321, 0.332, 0.663)
Sr (0.679, 0.668, 0.337)
Ta (0.000, 0.000, 0.000)

Values from the calculation:
Size of the total moment = 1.01 μB/f.u.
ρ = 5.969 g/cm3
Calculated total energy = -7.15 eV per atom
Symmetry = C2/m (12)
Uncorrected formation energy = -2.15 eV per atom

***

Entry 7:
Below is an optimized crystal structure of MgPaFeOs, with properties calculated at the PBE level.

a = 4.599 Å, b = 4.599 Å, c = 4.599 Å
α = 60.00°, β = 60.00°, γ = 60.00°
Fractional coordinates of all 4 atoms:
Fe (0.000, 0.000, 0.000)
Os (0.500, 0.500, 0.500)
Mg (0.750, 0.750, 0.750)
Pa (0.250, 0.250, 0.250)

Values from the calculation:
Size of the total moment = 0.00 μB/f.u.
ρ = 12.105 g/cm3
Calculated total energy = -7.73 eV per atom
Formation enthalpy at 0 K = -0.03 eV/atom
Symmetry = F-43m (216)

***

Entry 8:
Below is an optimized crystal structure of PrNdTlCu, with properties calculated at the PBE level.

a = 5.367 Å, b = 5.367 Å, c = 5.367 Å
α = 60.00°, β = 60.00°, γ = 60.00°
Fractional coordinates of all 4 atoms:
Tl (0.750, 0.750, 0.750)
Nd (0.500, 0.500, 0.500)
Cu (0.250, 0.250, 0.250)
Pr (0.000, 0.000, 0.000)

Values from the calculation:
Size of the total moment = 0.41 μB/f.u.
ρ = 8.402 g/cm3
Calculated total energy = -4.21 eV per atom
Formation enthalpy at 0 K = -0.20 eV/atom
Symmetry = F-43m (216)

***

Entry 9:
Below is an optimized crystal structure of HfGeB, with properties calculated at the PBE level.

a = 3.562 Å, b = 3.559 Å, c = 8.865 Å
α = 101.44°, β = 101.55°, γ = 59.93°
Fractional coordinates of all 6 atoms:
Ge (0.808, 0.107, 0.570)
Ge (0.910, 0.215, 0.880)
Hf (0.405, 0.707, 0.363)
Hf (0.649, 0.953, 0.093)
B (0.148, 0.447, 0.590)
B (0.218, 0.523, 0.803)

Values from the calculation:
Size of the total moment = 0.00 μB/f.u.
ρ = 9.191 g/cm3
Calculated total energy = -6.84 eV per atom
Formation enthalpy at 0 K = 0.24 eV/atom
Symmetry = Cm (8)

***

Entry 10:
Below is an optimized crystal structure of Mg3NbGa, with properties calculated at the PBE level.

a = 5.462 Å, b = 5.462 Å, c = 5.462 Å
α = 90.00°, β = 90.00°, γ = 90.00°
Fractional coordinates of all 5 atoms:
Mg (0.000, 0.500, 0.000)
Mg (0.000, 0.000, 0.500)
Mg (0.500, 0.000, 0.000)
Ga (0.500, 0.500, 0.500)
Nb (0.000, 0.000, 0.000)

Values from the calculation:
Size of the total moment = 3.86 μB/f.u.
ρ = 2.400 g/cm3
Calculated total energy = -2.47 eV per atom
Formation enthalpy at 0 K = 1.11 eV/atom
Symmetry = Pm-3m (221)
Excess energy over the best structure of this formula in the dataset = 304 meV per atom

***

Entry 11:
Below is an optimized crystal structure of Hg3SCl3, with properties calculated at the PBE level.

a = 6.743 Å, b = 8.978 Å, c = 8.656 Å
α = 123.15°, β = 90.00°, γ = 90.00°
Fractional coordinates of all 14 atoms:
Cl (0.750, 0.333, 0.246)
Cl (0.750, 0.901, 0.671)
Cl (0.750, 0.806, 0.114)
Cl (0.250, 0.099, 0.329)
Cl (0.250, 0.194, 0.886)
Cl (0.250, 0.667, 0.754)
Hg (0.750, 0.611, 0.654)
Hg (0.250, 0.389, 0.346)
Hg (0.250, 0.914, 0.601)
Hg (0.250, 0.724, 0.070)
Hg (0.750, 0.276, 0.930)
Hg (0.750, 0.086, 0.399)
S (0.750, 0.354, 0.695)
S (0.250, 0.646, 0.305)

Values from the calculation:
Size of the total moment = 0.00 μB/f.u.
ρ = 5.603 g/cm3
Calculated total energy = -1.86 eV per atom
Symmetry = P2_1/m (11)
Uncorrected formation energy = -0.35 eV per atom

***

Entry 12:
Below is an optimized crystal structure of CaTcAsBr2, with properties calculated at the PBE level.

a = 5.346 Å, b = 5.346 Å, c = 6.014 Å
α = 90.00°, β = 90.00°, γ = 90.00°
Fractional coordinates of all 5 atoms:
Tc (0.500, 0.500, 0.500)
Br (0.000, 0.500, 0.000)
Br (0.500, 0.000, 0.000)
Ca (0.000, 0.000, 0.000)
As (0.000, 0.000, 0.500)

Values from the calculation:
Size of the total moment = 3.97 μB/f.u.
ρ = 3.602 g/cm3
Calculated total energy = -3.69 eV per atom
Symmetry = P4/mmm (123)
Uncorrected formation energy = 0.38 eV per atom
Excess energy over the best structure of this formula in the dataset = 648 meV per atom

***

Entry 13:
Below is an optimized crystal structure of BiBCl2, with properties calculated at the PBE level.

a = 6.524 Å, b = 6.524 Å, c = 6.521 Å
α = 59.98°, β = 59.98°, γ = 90.00°
Fractional coordinates of all 8 atoms:
B (0.250, 0.750, 0.500)
B (0.500, 0.500, 0.000)
Bi (0.000, 0.000, 0.000)
Bi (0.750, 0.250, 0.500)
Cl (0.375, 0.125, 0.250)
Cl (0.375, 0.625, 0.250)
Cl (0.875, 0.625, 0.750)
Cl (0.375, 0.625, 0.750)

Values from the calculation:
Size of the total moment = 0.00 μB/f.u.
ρ = 4.922 g/cm3
Calculated total energy = -3.03 eV per atom
Symmetry = I4_1/amd (141)
Uncorrected formation energy = 0.54 eV per atom
Excess energy over the best structure of this formula in the dataset = 316 meV per atom

***

Entry 14:
Below is an optimized crystal structure of TiBe2Zn, with properties calculated at the PBE level.

a = 2.710 Å, b = 2.710 Å, c = 6.491 Å
α = 90.00°, β = 90.00°, γ = 90.00°
Fractional coordinates of all 4 atoms:
Zn (0.500, 0.500, 0.000)
Be (0.000, 0.000, 0.770)
Be (0.000, 0.000, 0.230)
Ti (0.500, 0.500, 0.500)

Values from the calculation:
Size of the total moment = 0.00 μB/f.u.
ρ = 4.574 g/cm3
Calculated total energy = -4.16 eV per atom
Formation enthalpy at 0 K = 0.00 eV/atom
Symmetry = P4/mmm (123)

***

Entry 15:
Below is an optimized crystal structure of Y8OsAu2, with properties calculated at the PBE level.

a = 5.608 Å, b = 9.560 Å, c = 9.560 Å
α = 136.83°, β = 100.07°, γ = 100.07°
Fractional coordinates of all 11 atoms:
Y (0.858, 0.753, 0.753)
Y (0.955, 0.202, 0.804)
Y (0.591, 0.181, 0.413)
Y (0.051, 0.253, 0.253)
Y (0.318, 0.593, 0.825)
Y (0.318, 0.825, 0.593)
Y (0.955, 0.804, 0.202)
Y (0.591, 0.413, 0.181)
Os (0.454, 0.003, 0.003)
Au (0.455, 0.259, 0.748)
Au (0.455, 0.748, 0.259)

Values from the calculation:
Size of the total moment = 0.00 μB/f.u.
ρ = 6.973 g/cm3
Calculated total energy = -6.66 eV per atom
Formation enthalpy at 0 K = -0.34 eV/atom
Symmetry = C2/m (12)
Excess energy over the best structure of this formula in the dataset = 67 meV per atom

***

Entry 16:
Below is an optimized crystal structure of Ac3Y2Tl4, with properties calculated at the PBE level.

a = 5.104 Å, b = 7.071 Å, c = 9.636 Å
α = 75.81°, β = 74.64°, γ = 68.84°
Fractional coordinates of all 9 atoms:
Tl (0.076, 0.260, 0.587)
Tl (0.924, 0.740, 0.413)
Tl (0.693, 0.657, 0.958)
Tl (0.307, 0.343, 0.042)
Ac (0.000, 0.000, 0.000)
Ac (0.361, 0.587, 0.691)
Ac (0.639, 0.413, 0.309)
Y (0.349, 0.980, 0.323)
Y (0.651, 0.020, 0.677)

Values from the calculation:
Size of the total moment = 0.00 μB/f.u.
ρ = 9.027 g/cm3
Calculated total energy = -4.16 eV per atom
Formation enthalpy at 0 K = -0.30 eV/atom
Symmetry = C2/m (12)

***

Entry 17:
Below is an optimized crystal structure of HfAsCl2, with properties calculated at the PBE level.

a = 12.191 Å, b = 12.191 Å, c = 12.191 Å
α = 14.84°, β = 14.84°, γ = 14.84°
Fractional coordinates of all 4 atoms:
Cl (0.884, 0.884, 0.884)
Cl (0.116, 0.116, 0.116)
Hf (0.500, 0.500, 0.500)
As (0.000, 0.000, 0.000)

Values from the calculation:
Size of the total moment = 0.00 μB/f.u.
ρ = 5.200 g/cm3
Calculated total energy = -5.29 eV per atom
Symmetry = R-3m (166)
Uncorrected formation energy = -0.71 eV per atom
Excess energy over the best structure of this formula in the dataset = 0 meV per atom

***

Entry 18:
Below is an optimized crystal structure of ZrTaIn2, with properties calculated at the PBE level.

a = 5.602 Å, b = 5.602 Å, c = 5.602 Å
α = 135.70°, β = 135.70°, γ = 64.45°
Fractional coordinates of all 4 atoms:
In (0.000, 0.000, 0.000)
In (0.250, 0.750, 0.500)
Zr (0.750, 0.250, 0.500)
Ta (0.500, 0.500, 0.000)

Values from the calculation:
Size of the total moment = 0.00 μB/f.u.
ρ = 9.855 g/cm3
Calculated total energy = -6.44 eV per atom
Formation enthalpy at 0 K = 0.03 eV/atom
Symmetry = I-4m2 (119)
Excess energy over the best structure of this formula in the dataset = 60 meV per atom

***

Entry 19:
Below is an optimized crystal structure of Al2Zn2Hg, with properties calculated at the PBE level.

a = 3.985 Å, b = 3.985 Å, c = 6.606 Å
α = 72.44°, β = 72.44°, γ = 90.00°
Fractional coordinates of all 5 atoms:
Zn (0.603, 0.603, 0.794)
Zn (0.397, 0.397, 0.206)
Al (0.750, 0.250, 0.500)
Al (0.250, 0.750, 0.500)
Hg (0.000, 0.000, 0.000)

Values from the calculation:
Size of the total moment = 0.00 μB/f.u.
ρ = 6.743 g/cm3
Calculated total energy = -1.93 eV per atom
Formation enthalpy at 0 K = 0.13 eV/atom
Symmetry = I4/mmm (139)
Excess energy over the best structure of this formula in the dataset = 29 meV per atom

***

Entry 20:
Below is an optimized crystal structure of NbNiCl2, with properties calculated at the PBE level.

a = 4.384 Å, b = 4.384 Å, c = 4.384 Å
α = 60.00°, β = 60.00°, γ = 60.00°
Fractional coordinates of all 4 atoms:
Cl (0.750, 0.750, 0.750)
Cl (0.250, 0.250, 0.250)
Ni (0.000, 0.000, 0.000)
Nb (0.500, 0.500, 0.500)

Values from the calculation:
Size of the total moment = 0.00 μB/f.u.
ρ = 6.203 g/cm3
Calculated total energy = -4.63 eV per atom
Symmetry = Fm-3m (225)
Uncorrected formation energy = 0.25 eV per atom
Excess energy over the best structure of this formula in the dataset = 8 meV per atom